The following is a PBE calculation of an optimized crystal structure of BaGe2Ir, from OQMD.

## Properties
* DFT total energy: -4.67 eV per atom
* symmetry: F-43m (216)

```
4
Lattice="0.000 3.548 3.548 3.548 0.000 3.548 3.548 3.548 0.000" Properties=species:S:1:pos:R:3 pbc="T T T"
Ba 5.322 5.322 5.322
Ge 0.000 0.000 0.000
Ge 1.774 1.774 1.774
Ir 3.548 3.548 3.548
```